(1)
An optimized crystal structure of PuTl2Se2Cl2. Source: Alexandria, functional PBE.

- Total DFT energy (no corrections): -37.244 eV for the cell shown
- E_form (uncorrected): -7.52 eV/f.u.
- Total magnetization: 4.0 μB/cell

Cell and atoms, written as POSCAR:
```
PuTl2Se2Cl2
1.0
-2.7698 2.7698 7.9467
2.7698 -2.7698 7.9467
2.7698 2.7698 -7.9467
Pu Tl Se Cl
1 2 2 2
direct
0.0000 0.0000 0.0000
0.3718 0.3718 0.0000
0.6282 0.6282 0.0000
0.0000 0.5000 0.5000
0.5000 0.0000 0.5000
0.1666 0.1666 0.0000
0.8334 0.8334 0.0000
```

=====

(2)
An optimized crystal structure of NbCrN2. Source: Alexandria, functional PBE.

- Total DFT energy (no corrections): -37.061 eV for the cell shown
- E_form (uncorrected): -0.72 eV/f.u.
- Total magnetization: 0.0 μB/cell

Cell and atoms, written as POSCAR:
```
NbCrN2
1.0
1.5344 0.8859 6.0179
-1.5344 0.8859 6.0179
0.0000 -1.7718 6.0179
Nb Cr N
1 1 2
direct
0.0000 0.0000 0.0000
0.5000 0.5000 0.5000
0.3992 0.3992 0.3992
0.6008 0.6008 0.6008
```

=====

(3)
An optimized crystal structure of Mo2OsBr. Source: Alexandria, functional PBE.

- Total DFT energy (no corrections): -30.060 eV for the cell shown
- E_form (uncorrected): 4.50 eV/f.u.
- ΔE to the lowest computed polymorph: 0.652 eV/atom
- Total magnetization: 0.0 μB/cell

Cell and atoms, written as POSCAR:
```
Mo2OsBr
1.0
0.0000 3.1840 3.1840
3.1840 0.0000 3.1840
3.1840 3.1840 0.0000
Mo Os Br
2 1 1
direct
0.0000 0.0000 0.0000
0.2500 0.2500 0.2500
0.5000 0.5000 0.5000
0.7500 0.7500 0.7500
```

=====

(4)
An optimized crystal structure of Dy2PtBr. Source: Alexandria, functional PBE.

- Total DFT energy (no corrections): -21.983 eV for the cell shown
- E_form (uncorrected): -5.06 eV/f.u.
- ΔE to the lowest computed polymorph: 0.000 eV/atom
- Total magnetization: 0.0 μB/cell

Cell and atoms, written as POSCAR:
```
Dy2PtBr
1.0
2.0446 1.1805 7.5628
-2.0446 1.1805 7.5628
0.0000 -2.3609 7.5628
Dy Pt Br
2 1 1
direct
0.2320 0.2320 0.2320
0.7680 0.7680 0.7680
0.5000 0.5000 0.5000
0.0000 0.0000 0.0000
```

=====

(5)
An optimized crystal structure of Tb3PaRu4. Source: Alexandria, functional PBE.

- Total DFT energy (no corrections): -62.544 eV for the cell shown
- ΔE to the lowest computed polymorph: 0.184 eV/atom
- Total magnetization: 0.0 μB/cell
- Calculated formation energy: -256.8 meV per atom

Cell and atoms, written as POSCAR:
```
Tb3PaRu4
1.0
-2.8120 3.8050 4.1684
2.8120 -3.8050 4.1684
2.8120 3.8050 -4.1684
Tb Pa Ru
3 1 4
direct
0.0000 0.0000 0.0000
0.3817 0.6321 0.7496
0.8826 0.6321 0.2504
0.5602 0.0602 0.5000
0.3221 0.0865 0.7644
0.3221 0.5577 0.2356
0.6089 0.2959 0.3130
0.9830 0.2959 0.6870
```

=====

Question: What is the total DFT energy (no corrections) in the first record?
Answer: -37.244 eV for the cell shown